# PBE+U HfFeMoO2, optimized geometry
data_HfFeMoO2
_cell_length_a 3.9040
_cell_length_b 5.2011
_cell_length_c 3.9040
_cell_angle_alpha 90.00
_cell_angle_beta 90.00
_cell_angle_gamma 90.00
_space_group_name_H-M_alt 'P 1'
_space_group_IT_number 1
loop_
_space_group_symop_operation_xyz
'x,y,z'
loop_
_atom_site_label
_atom_site_type_symbol
_atom_site_fract_x
_atom_site_fract_y
_atom_site_fract_z
_atom_site_occupancy
O1 O 0.5000 0.0000 0.0000 1
O2 O 0.0000 0.0000 0.5000 1
Fe1 Fe 0.0000 0.0000 0.0000 1
Mo1 Mo 0.0000 0.5000 0.0000 1
Hf1 Hf 0.5000 0.5000 0.5000 1
# magnetization = 6.8 μB/f.u.
# symmetry = P4/mmm, No. 123
# energy = -6.212 eV/atom